Entry 1:
Density functional theory data (PBE) for a relaxed HoMgScAu crystal.

Unit cell a=7.126 b=7.126 c=7.126 alpha=90.00 beta=90.00 gamma=90.00
Space group F-43m (No. 216)
One atom of each set of equivalent atoms:
Ho 0.000 0.000 0.000 [4 per cell]
Mg 0.250 0.250 0.250 [4 per cell]
Sc 0.000 0.000 0.500 [4 per cell]
Au 0.250 0.250 0.750 [4 per cell]

* formation energy from the elements: -38 kJ per mole of atoms
* total DFT energy (no corrections): -4.343 eV/atom

Entry 2:
Density functional theory data (PBE) for a relaxed PmNdCdPb crystal.

Unit cell a=7.747 b=7.747 c=7.747 alpha=90.00 beta=90.00 gamma=90.00
Space group F-43m (No. 216)
One atom of each set of equivalent atoms:
Pm 0.000 0.000 0.000 [4 per cell]
Nd 0.000 0.000 0.500 [4 per cell]
Cd 0.250 0.250 0.250 [4 per cell]
Pb 0.250 0.250 0.750 [4 per cell]

* formation energy from the elements: -42 kJ per mole of atoms
* total DFT energy (no corrections): -3.971 eV/atom

Entry 3:
Density functional theory data (PBE) for a relaxed TaCuSn3 crystal.

Unit cell a=5.380 b=5.380 c=5.380 alpha=90.00 beta=90.00 gamma=90.00
Space group Pm-3m (No. 221)
One atom of each set of equivalent atoms:
Ta 0.000 0.000 0.000 [1 per cell]
Cu 0.500 0.500 0.500 [1 per cell]
Sn 0.000 0.000 0.500 [3 per cell]

* formation energy from the elements: 73 kJ per mole of atoms
* total DFT energy (no corrections): -4.837 eV/atom
* energy above the most stable polymorph in this dataset: 0.0000 eV per atom

Entry 4:
Density functional theory data (PBE) for a relaxed AgS2Cl6 crystal.

Unit cell a=7.0742 b=7.0742 c=21.9263 alpha=90.00 beta=90.00 gamma=120.00
Space group R3 (No. 146, hexagonal axes)
One atom of each set of equivalent atoms:
Ag 0.0000 0.0000 0.0000 [3 per cell]
S 0.0000 0.0000 0.2580 [3 per cell]
S 0.0000 0.0000 0.4087 [3 per cell]
Cl 0.0169 0.4260 0.7493 [9 per cell]
Cl 0.0171 0.5905 0.5840 [9 per cell]

* uncorrected formation energy: -61 meV per atom
* total DFT energy (no corrections): -2.526 eV/atom
* energy above the most stable polymorph in this dataset: 0.0876 eV per atom

Entry 5:
Density functional theory data (PBE) for a relaxed Ba2YSc crystal.

Unit cell a=12.836 b=3.804 c=6.488 alpha=90.00 beta=100.97 gamma=90.00
Space group C2/m (No. 12)
One atom of each set of equivalent atoms:
Ba 0.241 0.000 0.242 [4 per cell]
Y 0.000 0.000 0.500 [2 per cell]
Sc 0.000 0.500 0.000 [2 per cell]

* formation energy from the elements: 35 kJ per mole of atoms
* total DFT energy (no corrections): -3.794 eV/atom
* energy above the most stable polymorph in this dataset: 0.1761 eV per atom

Entry 6:
Density functional theory data (PBE) for a relaxed TbSc2Ru3 crystal.

Unit cell a=3.285 b=3.285 c=9.789 alpha=90.00 beta=90.00 gamma=90.00
Space group P4/mmm (No. 123)
One atom of each set of equivalent atoms:
Tb 0.000 0.000 0.000 [1 per cell]
Sc 0.000 0.000 0.339 [2 per cell]
Ru 0.500 0.500 0.179 [2 per cell]
Ru 0.500 0.500 0.500 [1 per cell]

* formation energy from the elements: -42 kJ per mole of atoms
* total DFT energy (no corrections): -7.959 eV/atom
* energy above the most stable polymorph in this dataset: 0.0000 eV per atom

Entry 7:
Density functional theory data (PBE) for a relaxed ErThSi crystal.

Unit cell a=8.700 b=11.976 c=13.115 alpha=90.00 beta=90.00 gamma=90.00
Space group Fddd (No. 70, origin choice 2)
One atom of each set of equivalent atoms:
Er 0.125 0.125 0.256 [16 per cell]
Th 0.000 0.000 0.500 [16 per cell]
Si 0.125 0.314 0.125 [16 per cell]

* uncorrected formation energy: -287 meV per atom
* total DFT energy (no corrections): -6.089 eV/atom
* energy above the most stable polymorph in this dataset: 0.0363 eV per atom

Entry 8:
Density functional theory data (PBE) for a relaxed HgPbSe2 crystal.

Unit cell a=4.154 b=4.154 c=7.473 alpha=90.00 beta=90.00 gamma=90.00
Space group P4/mmm (No. 123)
One atom of each set of equivalent atoms:
Hg 0.000 0.000 0.000 [1 per cell]
Pb 0.000 0.000 0.500 [1 per cell]
Se 0.500 0.500 0.336 [2 per cell]

* uncorrected formation energy: -141 meV per atom
* total DFT energy (no corrections): -2.886 eV/atom
* energy above the most stable polymorph in this dataset: 0.1603 eV per atom